Below is Sr2PuHfN4 after structural relaxation, with properties calculated at the PBE-GGA level.

Magnetic moment ... 3.97 μB per formula unit
Formation energy (no corrections) ... -1203 meV per atom

```
8
Lattice="3.464 0.000 0.000 0.000 6.250 -0.240 0.000 2.095 5.585" Properties=species:S:1:pos:R:3 pbc="T T T"
N 0.000 5.938 4.068
N 1.732 4.935 1.354
Sr 0.000 2.095 5.585
Hf 0.000 4.172 2.673
Sr 1.732 1.047 2.792
N 3.464 2.406 1.277
Pu 1.732 5.220 5.465
N 1.732 3.409 3.991
```